# MnAsNF2

A relaxed MnAsNF2 crystal (GGA-PBEsol, Alexandria).

The space group is P4/mmm (No. 123) and the conventional cell measures 4.1139, 4.1139 and 3.9651 Å, with angles of 90.00, 90.00 and 90.00 degrees. The inequivalent atoms are Mn at (0.0000, 0.0000, 0.0000), As at (0.5000, 0.5000, 0.5000), N at (0.5000, 0.5000, 0.0000) and F at (0.0000, 0.5000, 0.5000).

As for the density: 4.50 Mg/m³. As for the total DFT energy (no corrections): -5.6530 eV per atom.